Here is an optimized crystal structure of DyZr2Sc8 from Alexandria. Energies are from GGA-PBE.

Lattice parameters (Å, degrees): 8.5097 8.5097 5.7990 92.84 92.84 41.76
With the nearest neighbours (Å) after each atom.
Fractional coordinates of all 11 atoms:
1 Dy 0.0000 0.0000 0.0000  14 Sc 3.44-3.67
2 Zr 0.2527 0.2527 0.6760  7 Sc 2.83-3.09
3 Zr 0.7473 0.7473 0.3240  7 Sc 2.83-3.09
4 Sc 0.1540 0.6508 0.4772  2 Zr 2.99-3.09, 6 Sc 3.01-3.30
5 Sc 0.2102 0.2102 0.1769  4 Zr 2.94-3.20, 3 Sc 3.15-3.24
6 Sc 0.3492 0.8460 0.5228  2 Zr 2.99-3.09, 6 Sc 3.01-3.30
7 Sc 0.3974 0.3974 0.9822  1 Zr 2.83
8 Sc 0.6026 0.6026 0.0178  1 Zr 2.83
9 Sc 0.6508 0.1540 0.4772  2 Zr 2.99-3.09, 6 Sc 3.01-3.30
10 Sc 0.7898 0.7898 0.8231  4 Zr 2.94-3.20, 3 Sc 3.15-3.24
11 Sc 0.8460 0.3492 0.5228  2 Zr 2.99-3.09, 6 Sc 3.01-3.30

Computed properties:
- VASP energy: -70.81 eV/cell
- Symmetry: C2/m, No. 12


Here is an optimized crystal structure of DyZrSc6 from Alexandria. Energies are from GGA-PBE.

Lattice parameters (Å, degrees): 4.5901 6.5905 6.5905 89.51 90.00 90.00
With the nearest neighbours (Å) after each atom.
Fractional coordinates of all 8 atoms:
1 Dy 0.0000 0.0000 0.0000  10 Sc 3.23-3.36, 2 Zr 3.28
2 Zr 0.5000 0.7493 0.7493  10 Sc 3.20-3.36, 2 Dy 3.28
3 Sc 0.0000 0.5100 0.9965  8 Sc 3.20-3.39, 2 Zr 3.22, 2 Dy 3.23-3.36
4 Sc 0.0000 0.5113 0.5113  10 Sc 3.20-3.39, 2 Zr 3.20
5 Sc 0.0000 0.9965 0.5100  8 Sc 3.20-3.39, 2 Zr 3.22, 2 Dy 3.23-3.36
6 Sc 0.5000 0.2586 0.2586  10 Sc 3.24-3.35, 2 Dy 3.34
7 Sc 0.5000 0.2597 0.7502  2 Zr 3.23-3.36, 8 Sc 3.23-3.35, 2 Dy 3.30
8 Sc 0.5000 0.7502 0.2597  2 Zr 3.23-3.36, 8 Sc 3.23-3.35, 2 Dy 3.30

Computed properties:
- VASP energy: -50.76 eV/cell
- Symmetry: Amm2, No. 38


Here is an optimized crystal structure of DyZr3Sc6 from Alexandria. Energies are from GGA-PBE.

Lattice parameters (Å, degrees): 10.4185 3.2825 15.0989 90.00 105.14 90.00
With the nearest neighbours (Å) after each atom.
Fractional coordinates of all 20 atoms:
1 Dy 0.0225 0.2500 0.3102  5 Sc 3.07-3.43, 2 Dy 3.28
2 Dy 0.9775 0.7500 0.6898  5 Sc 3.07-3.43, 2 Dy 3.28
3 Zr 0.2542 0.2500 0.0335  8 Sc 2.97-3.26, 2 Zr 3.28
4 Zr 0.3317 0.7500 0.7109  4 Sc 2.92-3.27, 2 Zr 3.00
5 Zr 0.4516 0.2500 0.5870  4 Sc 2.87-3.18, 2 Zr 3.00
6 Zr 0.5484 0.7500 0.4130  4 Sc 2.87-3.18, 2 Zr 3.00
7 Zr 0.6683 0.2500 0.2891  4 Sc 2.92-3.27, 2 Zr 3.00
8 Zr 0.7458 0.7500 0.9665  8 Sc 2.97-3.26, 2 Zr 3.28
9 Sc 0.0456 0.7500 0.1018  3 Zr 3.11-3.26, 6 Sc 3.27-3.39
10 Sc 0.1371 0.2500 0.5500  3 Zr 3.18, 6 Sc 3.18-3.30, 3 Dy 3.43-3.50
11 Sc 0.2091 0.7500 0.8642  3 Zr 2.92-2.97, 1 Dy 3.07, 2 Sc 3.23
12 Sc 0.2755 0.7500 0.4198  3 Zr 2.87-3.16, 2 Dy 3.18, 2 Sc 3.18
13 Sc 0.3440 0.2500 0.2430  4 Zr 3.06-3.31, 4 Sc 3.28-3.37
14 Sc 0.4852 0.2500 0.8973  4 Zr 3.11-3.29, 6 Sc 3.23-3.45
15 Sc 0.5148 0.7500 0.1027  4 Zr 3.11-3.29, 6 Sc 3.23-3.45
16 Sc 0.6560 0.7500 0.7570  4 Zr 3.06-3.31, 4 Sc 3.28-3.37
17 Sc 0.7245 0.2500 0.5802  3 Zr 2.87-3.16, 2 Dy 3.18, 2 Sc 3.18
18 Sc 0.7909 0.2500 0.1358  3 Zr 2.92-2.97, 1 Dy 3.07, 2 Sc 3.23
19 Sc 0.8629 0.7500 0.4500  3 Zr 3.18, 6 Sc 3.18-3.30, 3 Dy 3.43-3.50
20 Sc 0.9544 0.2500 0.8982  3 Zr 3.11-3.26, 6 Sc 3.27-3.39

Computed properties:
- VASP energy: -134.41 eV/cell
- Symmetry: P2_1/m, No. 11


Here is an optimized crystal structure of Dy6ZrSc from Alexandria. Energies are from GGA-PBE.

Lattice parameters (Å, degrees): 6.4587 6.4587 6.4782 90.08 90.08 119.92
With the nearest neighbours (Å) after each atom.
Fractional coordinates of all 8 atoms:
1 Dy 0.0654 0.4983 0.7481  1 Zr 3.23, 1 Sc 3.24, 6 Dy 3.31-3.38
2 Dy 0.0677 0.0677 0.2517  1 Zr 3.22, 1 Sc 3.24, 6 Dy 3.31-3.37
3 Dy 0.4983 0.0654 0.7481  1 Zr 3.23, 1 Sc 3.24, 6 Dy 3.31-3.38
4 Dy 0.5017 0.9346 0.2519  1 Zr 3.23, 1 Sc 3.24, 6 Dy 3.31-3.38
5 Dy 0.9323 0.9323 0.7483  1 Zr 3.22, 1 Sc 3.24, 6 Dy 3.31-3.37
6 Dy 0.9346 0.5017 0.2519  1 Zr 3.23, 1 Sc 3.24, 6 Dy 3.31-3.38
7 Zr 0.5000 0.5000 0.5000  6 Dy 3.22-3.23, 2 Sc 3.24
8 Sc 0.5000 0.5000 0.0000  2 Zr 3.24, 6 Dy 3.24

Computed properties:
- VASP energy: -40.82 eV/cell
- Symmetry: C2/m, No. 12


Here is an optimized crystal structure of Dy2Zr5Sc12 from Alexandria. Energies are from GGA-PBE.

Lattice parameters (Å, degrees): 8.3854 8.3854 7.8533 91.36 91.36 59.53
With the nearest neighbours (Å) after each atom.
Fractional coordinates of all 19 atoms:
1 Dy 0.2183 0.7817 0.0000  2 Zr 3.22, 8 Sc 3.23-3.58
2 Dy 0.7817 0.2183 0.0000  2 Zr 3.22, 8 Sc 3.23-3.58
3 Zr 0.0000 0.0000 0.5000  4 Sc 3.05, 2 Zr 3.40
4 Zr 0.2332 0.2332 0.5372  1 Sc 2.75
5 Zr 0.3530 0.3530 0.0582  8 Sc 2.95-3.29, 2 Dy 3.22
6 Zr 0.6470 0.6470 0.9418  8 Sc 2.95-3.29, 2 Dy 3.22
7 Zr 0.7668 0.7668 0.4628  1 Sc 2.75
8 Sc 0.0153 0.5996 0.7866  4 Zr 3.12-3.29, 6 Sc 3.16-3.46, 1 Dy 3.23
9 Sc 0.1667 0.1667 0.8613  1 Zr 2.75
10 Sc 0.1893 0.5927 0.3935  4 Zr 3.05-3.16, 5 Sc 3.12-3.36
11 Sc 0.4004 0.9847 0.2134  4 Zr 3.12-3.29, 6 Sc 3.16-3.46, 1 Dy 3.23
12 Sc 0.4073 0.8107 0.6065  4 Zr 3.05-3.16, 5 Sc 3.12-3.36
13 Sc 0.4413 0.4413 0.7244  1 Zr 2.95, 6 Sc 3.12-3.16, 2 Dy 3.29
14 Sc 0.5587 0.5587 0.2756  1 Zr 2.95, 6 Sc 3.12-3.16, 2 Dy 3.29
15 Sc 0.5927 0.1893 0.3935  4 Zr 3.05-3.16, 5 Sc 3.12-3.36
16 Sc 0.5996 0.0153 0.7866  4 Zr 3.12-3.29, 6 Sc 3.16-3.46, 1 Dy 3.23
17 Sc 0.8107 0.4073 0.6065  4 Zr 3.05-3.16, 5 Sc 3.12-3.36
18 Sc 0.8333 0.8333 0.1387  1 Zr 2.75
19 Sc 0.9847 0.4004 0.2134  4 Zr 3.12-3.29, 6 Sc 3.16-3.46, 1 Dy 3.23

Computed properties:
- VASP energy: -125.20 eV/cell
- Symmetry: C2/m, No. 12


Here is an optimized crystal structure of DyZr4Sc4 from Alexandria. Energies are from GGA-PBE.

Lattice parameters (Å, degrees): 5.5341 5.5341 9.2971 96.29 96.29 51.53
With the nearest neighbours (Å) after each atom.
Fractional coordinates of all 9 atoms:
1 Dy 0.0000 0.0000 0.0000  6 Zr 3.12-3.28, 6 Sc 3.25-3.41
2 Zr 0.2827 0.2827 0.4244  3 Zr 2.90-3.02, 5 Sc 3.08-3.23
3 Zr 0.3099 0.3099 0.1048  3 Zr 3.02-3.23, 3 Dy 3.12-3.28, 4 Sc 3.26-3.33
4 Zr 0.6901 0.6901 0.8952  3 Zr 3.02-3.23, 3 Dy 3.12-3.28, 4 Sc 3.26-3.33
5 Zr 0.7173 0.7173 0.5756  3 Zr 2.90-3.02, 5 Sc 3.08-3.23
6 Sc 0.0517 0.0517 0.6620  4 Sc 3.06-3.27, 6 Zr 3.08-3.42, 1 Dy 3.25
7 Sc 0.3632 0.3632 0.7659  3 Sc 3.14-3.27, 7 Zr 3.18-3.33, 2 Dy 3.41
8 Sc 0.6368 0.6368 0.2341  3 Sc 3.14-3.27, 7 Zr 3.18-3.33, 2 Dy 3.41
9 Sc 0.9483 0.9483 0.3380  4 Sc 3.06-3.27, 6 Zr 3.08-3.42, 1 Dy 3.25

Computed properties:
- VASP energy: -63.36 eV/cell
- Symmetry: C2/m, No. 12